[1]
# Bi3Te3O GGA-PBE relaxed
data_Bi3Te3O
_cell_length_a 6.561
_cell_length_b 9.100
_cell_length_c 9.100
_cell_angle_alpha 120.00
_cell_angle_beta 90.00
_cell_angle_gamma 90.00
_symmetry_space_group_name_H-M 'P 1'
_symmetry_Int_Tables_number 1
_symmetry_space_group_name_Hall 'P 1'
loop_
_atom_site_label
_atom_site_type_symbol
_atom_site_fract_x
_atom_site_fract_y
_atom_site_fract_z
Te1 Te 0.250 0.624 0.704
Te2 Te 0.750 0.920 0.624
Te3 Te 0.750 0.376 0.296
Te4 Te 0.250 0.296 0.920
Te5 Te 0.750 0.704 0.080
Te6 Te 0.250 0.080 0.376
Bi1 Bi 0.250 0.703 0.105
Bi2 Bi 0.750 0.105 0.402
Bi3 Bi 0.750 0.297 0.895
Bi4 Bi 0.250 0.895 0.598
Bi5 Bi 0.750 0.598 0.703
Bi6 Bi 0.250 0.402 0.297
O1 O 0.250 0.667 0.333
O2 O 0.750 0.333 0.667
# magnetic moment: 0.0 μB per cell
# total energy: -4.10 eV per atom



[2]
# Bi3TeO GGA-PBE relaxed
data_Bi3TeO
_cell_length_a 5.842
_cell_length_b 5.842
_cell_length_c 5.842
_cell_angle_alpha 90.00
_cell_angle_beta 90.00
_cell_angle_gamma 90.00
_symmetry_space_group_name_H-M 'P 1'
_symmetry_Int_Tables_number 1
_symmetry_space_group_name_Hall 'P 1'
loop_
_atom_site_label
_atom_site_type_symbol
_atom_site_fract_x
_atom_site_fract_y
_atom_site_fract_z
Bi1 Bi 0.000 0.000 0.500
Bi2 Bi 0.500 0.000 0.000
Bi3 Bi 0.000 0.500 0.000
Te1 Te 0.000 0.000 0.000
O1 O 0.500 0.500 0.500
# magnetic moment: 0.0 μB per cell
# polymorph energy (0 for the lowest one): 1.268 eV/atom
# total energy: -2.71 eV per atom



[3]
# Bi2Te2O7 GGA-PBE relaxed
data_Bi2Te2O7
_cell_length_a 5.995
_cell_length_b 5.751
_cell_length_c 5.751
_cell_angle_alpha 90.05
_cell_angle_beta 84.69
_cell_angle_gamma 84.69
_symmetry_space_group_name_H-M 'P 1'
_symmetry_Int_Tables_number 1
_symmetry_space_group_name_Hall 'P 1'
loop_
_atom_site_label
_atom_site_type_symbol
_atom_site_fract_x
_atom_site_fract_y
_atom_site_fract_z
Bi1 Bi 0.000 0.283 0.717
Bi2 Bi 0.000 0.717 0.283
O1 O 0.781 0.585 0.953
O2 O 0.500 0.000 0.000
O3 O 0.773 0.497 0.497
O4 O 0.219 0.415 0.047
O5 O 0.227 0.503 0.503
O6 O 0.219 0.047 0.415
O7 O 0.781 0.953 0.585
Te1 Te 0.416 0.248 0.248
Te2 Te 0.584 0.752 0.752
# magnetic moment: 0.0 μB per cell
# total energy: -5.57 eV per atom



[4]
# BiTeO4 GGA-PBE relaxed
data_BiTeO4
_cell_length_a 5.702
_cell_length_b 7.087
_cell_length_c 10.033
_cell_angle_alpha 72.67
_cell_angle_beta 73.49
_cell_angle_gamma 66.28
_symmetry_space_group_name_H-M 'P 1'
_symmetry_Int_Tables_number 1
_symmetry_space_group_name_Hall 'P 1'
loop_
_atom_site_label
_atom_site_type_symbol
_atom_site_fract_x
_atom_site_fract_y
_atom_site_fract_z
O1 O 0.718 0.954 0.411
O2 O 0.852 0.921 0.876
O3 O 0.351 0.421 0.376
O4 O 0.626 0.585 0.622
O5 O 0.355 0.004 0.845
O6 O 0.696 0.204 0.583
O7 O 0.197 0.494 0.654
O8 O 0.518 0.290 0.914
O9 O 0.284 0.037 0.596
O10 O 0.083 0.537 0.096
O11 O 0.516 0.704 0.083
O12 O 0.795 0.504 0.345
O13 O 0.278 0.790 0.414
O14 O 0.656 0.994 0.154
O15 O 0.917 0.454 0.911
O16 O 0.167 0.085 0.122
Te1 Te 0.811 0.431 0.120
Te2 Te 0.490 0.505 0.496
Te3 Te 0.508 0.005 0.996
Te4 Te 0.639 0.931 0.620
Bi1 Bi 0.329 0.104 0.342
Bi2 Bi 0.953 0.244 0.758
Bi3 Bi 0.045 0.744 0.258
Bi4 Bi 0.226 0.604 0.842
# magnetic moment: 0.0 μB per cell
# polymorph energy (0 for the lowest one): 0.000 eV/atom
# total energy: -5.62 eV per atom



[5]
# BiTe2O6 GGA-PBE relaxed
data_BiTe2O6
_cell_length_a 6.207
_cell_length_b 7.330
_cell_length_c 7.330
_cell_angle_alpha 102.97
_cell_angle_beta 80.81
_cell_angle_gamma 80.81
_symmetry_space_group_name_H-M 'P 1'
_symmetry_Int_Tables_number 1
_symmetry_space_group_name_Hall 'P 1'
loop_
_atom_site_label
_atom_site_type_symbol
_atom_site_fract_x
_atom_site_fract_y
_atom_site_fract_z
Bi1 Bi 0.250 0.087 0.913
Bi2 Bi 0.750 0.913 0.087
O1 O 0.827 0.945 0.380
O2 O 0.327 0.380 0.945
O3 O 0.447 0.310 0.517
O4 O 0.947 0.517 0.310
O5 O 0.553 0.690 0.483
O6 O 0.612 0.927 0.805
O7 O 0.388 0.073 0.195
O8 O 0.112 0.805 0.927
O9 O 0.888 0.195 0.073
O10 O 0.673 0.620 0.055
O11 O 0.173 0.055 0.620
O12 O 0.053 0.483 0.690
Te1 Te 0.319 0.541 0.775
Te2 Te 0.181 0.225 0.459
Te3 Te 0.681 0.459 0.225
Te4 Te 0.819 0.775 0.541
# magnetic moment: 0.0 μB per cell
# polymorph energy (0 for the lowest one): 0.039 eV/atom
# total energy: -5.40 eV per atom



[6]
# BiTe3O GGA-PBE relaxed
data_BiTe3O
_cell_length_a 4.950
_cell_length_b 4.950
_cell_length_c 4.950
_cell_angle_alpha 90.00
_cell_angle_beta 90.00
_cell_angle_gamma 90.00
_symmetry_space_group_name_H-M 'P 1'
_symmetry_Int_Tables_number 1
_symmetry_space_group_name_Hall 'P 1'
loop_
_atom_site_label
_atom_site_type_symbol
_atom_site_fract_x
_atom_site_fract_y
_atom_site_fract_z
Te1 Te 0.500 0.000 0.000
Te2 Te 0.000 0.000 0.500
Te3 Te 0.000 0.500 0.000
Bi1 Bi 0.500 0.500 0.500
O1 O 0.000 0.000 0.000
# magnetic moment: 0.0 μB per cell
# polymorph energy (0 for the lowest one): 0.000 eV/atom
# total energy: -3.55 eV per atom



[7]
# BiTeO GGA-PBE relaxed
data_BiTeO
_cell_length_a 3.483
_cell_length_b 4.157
_cell_length_c 10.796
_cell_angle_alpha 89.97
_cell_angle_beta 89.99
_cell_angle_gamma 90.00
_symmetry_space_group_name_H-M 'P 1'
_symmetry_Int_Tables_number 1
_symmetry_space_group_name_Hall 'P 1'
loop_
_atom_site_label
_atom_site_type_symbol
_atom_site_fract_x
_atom_site_fract_y
_atom_site_fract_z
O1 O 0.314 0.867 0.904
O2 O 0.814 0.366 0.935
Bi1 Bi 0.813 0.866 0.042
Bi2 Bi 0.314 0.367 0.797
Te1 Te 0.814 0.867 0.594
Te2 Te 0.313 0.366 0.245
# magnetic moment: 0.0 μB per cell
# total energy: -4.59 eV per atom



[8]
# BiTeO2 GGA-PBE relaxed
data_BiTeO2
_cell_length_a 4.502
_cell_length_b 4.502
_cell_length_c 4.502
_cell_angle_alpha 60.00
_cell_angle_beta 60.00
_cell_angle_gamma 60.00
_symmetry_space_group_name_H-M 'P 1'
_symmetry_Int_Tables_number 1
_symmetry_space_group_name_Hall 'P 1'
loop_
_atom_site_label
_atom_site_type_symbol
_atom_site_fract_x
_atom_site_fract_y
_atom_site_fract_z
Bi1 Bi 0.500 0.500 0.500
O1 O 0.250 0.250 0.250
O2 O 0.750 0.750 0.750
Te1 Te 0.000 0.000 0.000
# magnetic moment: 0.0 μB per cell
# polymorph energy (0 for the lowest one): 0.759 eV/atom
# total energy: -4.20 eV per atom



What did we get for ΔE_f (raw)? Answer: -255 597 -1205 -665 -834 52 -173 12 kJ/mol of formula units, in the order shown.